19
Lattice="6.998 0.000 0.000 -3.499 8.455 0.345 0.000 -2.614 10.328" Properties=species:S:1:pos:R:3 comment="Dy5Y2Er12 (GGA-PBE, optimized geometry)" formation_enthalpy_0k_ev_per_atom=0.289 de_polymorph_mev_per_atom=265 pbc="T T T"
Er -1.704 5.580 3.109
Er 3.499 -0.093 3.905
Er 1.704 5.580 3.109
Er 0.000 0.015 2.629
Er 0.000 5.934 6.768
Er 3.499 5.826 8.043
Er 5.105 2.481 2.424
Er 5.204 0.261 7.564
Er 1.893 2.481 2.424
Er 1.795 0.261 7.564
Er 1.606 3.360 8.249
Er -1.606 3.360 8.249
Dy 0.000 -1.307 5.164
Dy 0.000 2.644 5.267
Dy 3.499 3.197 5.406
Dy 3.499 4.675 0.248
Dy 0.000 1.166 10.425
Y 5.155 0.000 0.000
Y 1.843 0.000 0.000

19
Lattice="8.445 0.755 0.904 -0.534 8.462 0.904 -0.534 -0.623 8.487" Properties=species:S:1:pos:R:3 comment="DyY12Er6 (GGA-PBE, optimized geometry)" formation_enthalpy_0k_ev_per_atom=0.153 de_polymorph_mev_per_atom=0 pbc="T T T"
Y 4.454 8.358 8.252
Y 3.442 4.981 2.815
Y 7.587 7.106 7.053
Y 3.934 3.612 7.480
Y 4.402 2.027 4.593
Y 2.974 6.567 5.702
Y 1.502 3.187 0.597
Y 2.922 0.235 2.043
Y 5.874 5.407 9.698
Y 6.040 4.907 4.891
Y 1.336 3.687 5.404
Y -0.211 1.488 3.242
Er 5.639 8.042 4.088
Er 5.675 2.628 1.651
Er 7.095 2.809 7.414
Er 0.281 5.785 2.881
Er 1.738 0.551 6.206
Er 1.701 5.965 8.644
Dy 0.000 0.000 0.000

11
Lattice="5.214 0.000 -1.583 -0.990 7.329 -3.259 -0.042 -0.352 9.239" Properties=species:S:1:pos:R:3 comment="Dy2YEr8 (GGA-PBE, optimized geometry)" formation_enthalpy_0k_ev_per_atom=0.120 de_polymorph_mev_per_atom=0 pbc="T T T"
Er -0.698 5.169 -2.298
Er 2.483 6.100 -1.198
Er 0.665 1.066 2.191
Er 2.891 3.072 0.146
Er 3.517 5.911 2.207
Er 4.880 1.808 6.695
Er 1.291 3.905 4.252
Er 1.699 0.877 5.596
Dy 3.842 1.978 3.277
Dy 0.340 4.999 1.120
Y 2.607 0.000 -0.792

11
Lattice="6.524 0.000 0.000 0.000 6.524 0.000 -3.262 -3.262 8.535" Properties=species:S:1:pos:R:3 comment="DyY4Er6 (GGA-PBE, optimized geometry)" formation_enthalpy_0k_ev_per_atom=0.313 de_polymorph_mev_per_atom=13 pbc="T T T"
Er 4.466 2.058 2.892
Er 3.262 0.000 0.000
Er 2.058 4.466 2.892
Er 1.204 1.204 5.643
Er -1.204 -1.204 5.643
Er 0.000 3.262 0.000
Dy 3.262 3.262 0.000
Y 2.088 -2.088 6.234
Y -2.088 2.088 6.234
Y 1.174 1.174 2.301
Y 5.350 5.350 2.301

16
Lattice="-0.915 4.820 0.829 -4.870 -0.976 0.300 1.813 -3.023 19.572" Properties=species:S:1:pos:R:3 comment="Dy3YEr12 (GGA-PBE, optimized geometry)" formation_enthalpy_0k_ev_per_atom=0.022 pbc="T T T"
Er -2.207 -0.868 2.607
Er 1.127 -0.233 17.529
Er -0.850 -3.131 17.265
Er -2.893 1.922 0.565
Er 0.675 0.521 12.646
Er 0.222 1.277 7.755
Er -2.439 1.166 5.461
Er -0.230 2.031 2.872
Er -1.755 -1.622 7.490
Er -1.534 -0.344 15.240
Er -1.986 0.411 10.351
Er -1.302 -2.377 12.382
Dy 1.359 -2.266 14.675
Dy 0.906 -1.511 9.786
Dy 0.454 -0.756 4.897
Y 0.000 0.000 0.000

24
Lattice="3.644 0.000 0.000 0.000 13.816 -5.893 0.000 0.011 15.021" Properties=species:S:1:pos:R:3 comment="Dy9Y4Er11 (GGA-PBE, optimized geometry)" formation_enthalpy_0k_ev_per_atom=0.058 pbc="T T T"
Er 0.000 5.606 -1.741
Er 0.000 11.600 -2.536
Er 0.000 8.221 10.868
Er 0.000 0.602 5.839
Er 0.000 0.000 0.000
Er 0.000 9.831 6.489
Er 0.000 8.757 1.771
Er 0.000 5.070 7.357
Er 0.000 2.227 11.663
Er 0.000 3.996 2.638
Er 0.000 13.225 3.288
Dy 1.822 5.104 10.384
Dy 1.822 2.272 8.515
Dy 1.822 8.723 -1.257
Dy 1.822 11.555 0.612
Dy 1.822 12.897 6.324
Dy 1.822 10.884 9.375
Dy 1.822 0.929 2.803
Dy 1.822 6.913 4.564
Dy 1.822 2.943 -0.247
Y 1.822 10.451 3.876
Y 1.822 6.156 1.041
Y 1.822 7.671 8.087
Y 1.822 3.376 5.252

4
Lattice="3.439 0.000 -1.089 0.013 5.615 0.040 -1.554 -0.045 7.039" Properties=species:S:1:pos:R:3 comment="DyYEr2 (GGA-PBE, optimized geometry)" formation_enthalpy_0k_ev_per_atom=0.005 de_polymorph_mev_per_atom=0 pbc="T T T"
Er -0.054 4.206 2.765
Er 2.753 1.413 -0.319
Y -0.829 4.182 6.290
Dy 1.971 1.391 3.184

8
Lattice="6.395 -0.938 1.978 -0.414 3.479 -0.086 3.140 -1.063 12.449" Properties=species:S:1:pos:R:3 comment="DyYEr2 (GGA-PBE, optimized geometry)" formation_enthalpy_0k_ev_per_atom=0.046 de_polymorph_mev_per_atom=41 pbc="T T T"
Er 4.168 0.233 12.602
Er 6.593 0.461 10.474
Er 2.555 -0.137 6.342
Er 5.064 1.892 4.254
Dy 7.318 -1.135 13.550
Dy 1.826 1.463 3.264
Y 3.427 1.829 9.530
Y 5.797 0.293 7.342

11
Lattice="6.553 0.000 0.000 0.000 6.553 0.000 -3.276 -3.276 8.554" Properties=species:S:1:pos:R:3 comment="Dy6Y4Er (GGA-PBE, optimized geometry)" formation_enthalpy_0k_ev_per_atom=0.312 de_polymorph_mev_per_atom=18 pbc="T T T"
Dy 2.061 4.491 2.930
Dy 4.491 2.061 2.930
Dy 3.276 0.000 0.000
Dy 1.215 1.215 5.623
Dy 0.000 3.276 0.000
Dy -1.215 -1.215 5.623
Y 1.177 1.177 2.276
Y 5.376 5.376 2.276
Y -2.100 2.100 6.278
Y 2.100 -2.100 6.278
Er 3.276 3.276 0.000

13
Lattice="-0.328 2.449 -6.858 3.824 -6.011 1.545 -8.461 -4.715 2.595" Properties=species:S:1:pos:R:3 comment="Dy8Y4Er (GGA-PBE, optimized geometry)" formation_enthalpy_0k_ev_per_atom=0.217 pbc="T T T"
Dy -3.191 -6.569 -0.465
Dy -1.628 -2.800 0.806
Dy 0.490 -6.130 1.662
Dy -1.774 -1.708 -2.253
Dy -0.178 -4.989 -1.773
Dy -5.455 -2.147 -4.380
Dy -4.787 -3.288 -0.946
Dy -3.337 -5.477 -3.525
Y 1.748 -1.781 -2.657
Y -0.164 1.225 -3.429
Y 0.000 0.000 0.000
Y 1.912 -3.006 0.772
Er -2.318 -5.363 2.070

20
Lattice="6.381 0.000 0.000 0.000 10.033 -5.695 0.000 -2.220 11.321" Properties=species:S:1:pos:R:3 comment="Dy3Y6Er (GGA-PBE, optimized geometry)" formation_enthalpy_0k_ev_per_atom=0.116 de_polymorph_mev_per_atom=0 pbc="T T T"
Y 3.626 4.587 4.864
Y 0.436 6.068 2.808
Y 2.086 2.607 7.527
Y 3.626 1.745 2.818
Y 5.276 7.965 0.086
Y 0.436 3.226 0.761
Y 2.086 -0.152 5.540
Y 1.838 6.345 -0.573
Y 5.029 1.468 6.199
Y 5.226 -2.038 11.068
Y 5.276 5.206 -1.901
Y 2.035 9.851 -5.442
Dy 6.310 -0.250 3.114
Dy 0.592 2.920 4.182
Dy 3.120 8.063 2.512
Dy 3.783 4.892 1.444
Dy 6.310 4.939 6.851
Dy 3.120 2.874 -1.225
Er 3.302 8.063 -2.960
Er 0.111 -0.250 8.586

6
Lattice="5.012 -0.013 -0.015 -2.513 5.323 -5.351 0.031 -3.513 10.695" Properties=species:S:1:pos:R:3 comment="DyY4Er (GGA-PBE, optimized geometry)" formation_enthalpy_0k_ev_per_atom=0.025 de_polymorph_mev_per_atom=0 pbc="T T T"
Er 2.530 1.797 5.328
Y 0.026 0.033 7.112
Y 0.013 0.017 3.567
Y 2.517 1.780 1.761
Y 2.504 1.765 -1.784
Dy 0.009 3.560 -0.012